Tl2GaAu2 PBE optimized geometry; E above lowest polymorph = 85.4 meV per atom; DOS(E_F) = 4.21 states/eV per cell; symmetry = P4/mbm, No. 127; electronic total energy = -14.4 eV/f.u.; M_tot = 0.00 μB/cell; crystal system = tetragonal
1.0
7.019 0.000 0.000
0.000 7.019 0.000
0.000 0.000 4.919
Tl Ga Au
4 2 4
Cartesian
1.180 2.330 0.000
2.330 5.839 0.000
4.689 1.180 0.000
5.839 4.689 0.000
0.000 0.000 2.460
3.510 3.510 2.460
1.034 4.544 2.460
2.475 1.034 2.460
4.544 5.985 2.460
5.985 2.475 2.460

CaCr2Rh PBE optimized geometry; E above lowest polymorph = 151.8 meV per atom; DOS(E_F) = 5.83 states/eV per cell; symmetry = Imm2, No. 44; electronic total energy = -27.1 eV/f.u.; M_tot = 0.00 μB/cell; crystal system = orthorhombic
1.0
3.248 0.000 0.000
0.000 4.848 0.000
0.000 0.000 8.775
Ca Cr Rh
2 4 2
Cartesian
0.000 0.000 0.000
1.624 2.424 4.388
0.000 0.000 4.343
0.000 2.424 6.871
1.624 0.000 2.483
1.624 2.424 8.731
0.000 2.424 2.055
1.624 0.000 6.442

SmZnAgAu PBE optimized geometry; DOS(E_F) = 15.76 states/eV per cell; symmetry = F-43m, No. 216; electronic total energy = -13.7 eV/f.u.; M_tot = 0.00 μB/cell; crystal system = cubic
1.0
6.923 0.000 0.000
0.000 6.923 0.000
0.000 0.000 6.923
Sm Zn Ag Au
4 4 4 4
Cartesian
0.000 0.000 0.000
0.000 3.462 3.462
3.462 0.000 3.462
3.462 3.462 0.000
1.731 1.731 5.192
1.731 5.192 1.731
5.192 1.731 1.731
5.192 5.192 5.192
0.000 0.000 3.462
0.000 3.462 0.000
3.462 0.000 0.000
3.462 3.462 3.462
1.731 1.731 1.731
1.731 5.192 5.192
5.192 1.731 5.192
5.192 5.192 1.731

Mn5N4 PBE optimized geometry; uncorrected formation energy = -103 meV per atom; DOS(E_F) = 5.27 states/eV per cell; symmetry = I4/m, No. 87; electronic total energy = -80.1 eV/f.u.; M_tot = 10.76 μB/cell; crystal system = tetragonal
1.0
-3.934 3.934 1.452
3.934 -3.934 1.452
3.934 3.934 -1.452
Mn N
5 4
Cartesian
0.000 0.000 0.000
3.089 2.066 0.000
1.868 -0.845 1.452
2.066 4.778 0.000
0.845 1.868 1.452
1.901 0.529 0.000
3.404 -2.033 1.452
0.529 5.966 0.000
2.033 3.404 1.452

RbTlIBr PBE optimized geometry; E above lowest polymorph = 0.0 meV per atom; uncorrected formation energy = -1169 meV per atom; DOS(E_F) = 0.00 states/eV per cell; symmetry = Pm, No. 6; electronic total energy = -11.2 eV/f.u.; M_tot = 0.00 μB/cell; crystal system = monoclinic
1.0
5.064 0.000 0.000
0.000 5.057 0.000
-0.024 0.000 7.020
Rb Tl I Br
1 1 1 1
Cartesian
0.000 0.000 0.000
2.519 2.529 3.516
2.532 2.529 0.009
-0.006 0.000 3.512

LaTaMo PBE optimized geometry; E above lowest polymorph = 54.7 meV per atom; DOS(E_F) = 15.72 states/eV per cell; symmetry = Cm, No. 8; electronic total energy = -26.6 eV/f.u.; M_tot = 0.00 μB/cell; crystal system = monoclinic
1.0
11.833 0.000 0.000
0.000 4.276 0.000
-0.176 0.000 5.718
La Ta Mo
4 4 4
Cartesian
0.000 0.000 0.000
0.718 2.138 2.839
5.917 2.138 0.000
6.634 0.000 2.839
2.602 2.138 0.054
3.343 0.000 4.318
8.519 0.000 0.054
9.260 2.138 4.318
3.375 0.000 1.441
3.914 2.138 2.830
9.292 2.138 1.441
9.831 0.000 2.830

AgTe2Ru PBE optimized geometry; E above lowest polymorph = 174.1 meV per atom; uncorrected formation energy = 180 meV per atom; DOS(E_F) = 6.10 states/eV per cell; symmetry = Cm, No. 8; electronic total energy = -17.7 eV/f.u.; M_tot = 0.00 μB/cell; crystal system = monoclinic
1.0
10.254 0.000 0.000
0.000 3.501 0.000
-1.919 0.000 5.916
Ag Te Ru
2 4 2
Cartesian
0.000 0.000 0.000
5.127 1.750 0.000
0.461 0.000 4.269
3.455 0.000 1.768
5.588 1.750 4.269
8.582 1.750 1.768
2.252 1.750 0.256
7.379 0.000 0.256

Ce6PS2Cl3 PBE optimized geometry; uncorrected formation energy = -1681 meV per atom; DOS(E_F) = 30.74 states/eV per cell; symmetry = C2/m, No. 12; electronic total energy = -75.0 eV/f.u.; M_tot = 3.73 μB/cell; crystal system = monoclinic
1.0
3.503 -6.068 0.000
3.503 6.068 0.000
-2.335 0.000 6.564
Ce P S Cl
6 1 2 3
Cartesian
-0.004 2.028 4.998
1.159 0.000 1.553
-0.004 -2.028 4.998
4.675 2.028 1.566
3.512 0.000 5.011
4.675 -2.028 1.566
3.503 0.000 0.000
3.503 4.040 0.000
3.503 -4.040 0.000
-1.168 0.000 3.282
2.336 1.993 3.282
2.336 -1.993 3.282

Look up the DOS(E_F) of the fourth one.
5.27 states/eV per cell

What did the fifth record say?
RbTlIBr PBE optimized geometry; E above lowest polymorph = 0.0 meV per atom; uncorrected formation energy = -1169 meV per atom; DOS(E_F) = 0.00 states/eV per cell; symmetry = Pm, No. 6; electronic total energy = -11.2 eV/f.u.; M_tot = 0.00 μB/cell; crystal system = monoclinic
1.0
5.064 0.000 0.000
0.000 5.057 0.000
-0.024 0.000 7.020
Rb Tl I Br
1 1 1 1
Cartesian
0.000 0.000 0.000
2.519 2.529 3.516
2.532 2.529 0.009
-0.006 0.000 3.512

The highest DOS(E_F) belongs to which entry?
Ce6PS2Cl3